# 1
A relaxed Sm4In2Hg crystal. Source: Alexandria via LeMat-Bulk, functional PBE.

Structure (CIF):
```
data_Sm4In2Hg
_chemical_formula_sum 'Sm8 In4 Hg2'
_cell_length_a 7.398
_cell_length_b 6.709
_cell_length_c 9.236
_cell_angle_alpha 90.00
_cell_angle_beta 110.71
_cell_angle_gamma 90.00
_space_group_name_H-M_alt 'P 1 21/m 1'
_space_group_IT_number 11
loop_
_space_group_symop_operation_xyz
'x,y,z'
'-x,-y,-z'
'-x,y+1/2,-z'
'x,-y+1/2,z'
loop_
_atom_site_label
_atom_site_fract_x
_atom_site_fract_y
_atom_site_fract_z
Sm1 0.096 0.250 0.056
Sm2 0.166 0.007 0.724
Sm3 0.322 0.750 0.334
In1 0.219 0.250 0.438
In2 0.445 0.750 0.030
Hg1 0.490 0.750 0.697
```

Computed properties:
- relative energy among the computed polymorphs (kcal/mol of atoms) = 1.79
- total magnetization (μB per formula unit) = 0.00
- ρ (g/cm3) = 7.990
- electronic total energy (eV per atom) = -3.7703
- E_form (meV/atom) = -248

---

# 2
A relaxed BaSr7Ca3 crystal. Source: Alexandria via LeMat-Bulk, functional PBE.

Structure (CIF):
```
data_BaSr7Ca3
_chemical_formula_sum 'Ba4 Sr28 Ca12'
_cell_length_a 19.501
_cell_length_b 11.777
_cell_length_c 10.701
_cell_angle_alpha 90.00
_cell_angle_beta 90.00
_cell_angle_gamma 90.00
_space_group_name_H-M_alt 'C m c m'
_space_group_IT_number 63
_space_group_name_Hall '-C 2c 2'
loop_
_atom_site_label
_atom_site_fract_x
_atom_site_fract_y
_atom_site_fract_z
Ba1 0.000 0.000 0.000
Sr1 0.000 0.256 0.250
Sr2 0.150 0.247 0.568
Sr3 0.167 0.433 0.250
Ca1 0.000 0.500 0.000
Ca2 0.166 0.079 0.250
```

Computed properties:
- relative energy among the computed polymorphs (kcal/mol of atoms) = 0.95
- total magnetization (μB per formula unit) = 0.00
- ρ (g/cm3) = 2.354
- electronic total energy (eV per atom) = -1.6281
- E_form (meV/atom) = 163

---

# 3
A relaxed ZnSe2Br crystal. Source: Alexandria via LeMat-Bulk, functional PBE.

Structure (CIF):
```
data_ZnSe2Br
_chemical_formula_sum 'Zn1 Se2 Br1'
_cell_length_a 3.360
_cell_length_b 3.360
_cell_length_c 8.489
_cell_angle_alpha 90.00
_cell_angle_beta 90.00
_cell_angle_gamma 90.00
_space_group_name_H-M_alt 'P 4 m m'
_space_group_IT_number 99
loop_
_space_group_symop_operation_xyz
'x,y,z'
'-y,x,z'
'-x,-y,z'
'y,-x,z'
'-x,y,z'
'y,x,z'
'x,-y,z'
'-y,-x,z'
loop_
_atom_site_label
_atom_site_fract_x
_atom_site_fract_y
_atom_site_fract_z
Zn1 0.000 0.000 0.000
Se1 0.000 0.000 0.586
Se2 0.500 0.500 0.759
Br1 0.500 0.500 0.174
```

Computed properties:
- relative energy among the computed polymorphs (kcal/mol of atoms) = 11.58
- total magnetization (μB per formula unit) = 0.00
- raw formation energy (eV/atom) = 0.211
- ρ (g/cm3) = 5.255
- electronic total energy (eV per atom) = -2.2681

---

# 4
A relaxed MgRh crystal. Source: Alexandria via LeMat-Bulk, functional PBE.

Structure (CIF):
```
data_MgRh
_chemical_formula_sum 'Mg1 Rh1'
_cell_length_a 2.9498
_cell_length_b 2.9498
_cell_length_c 4.1350
_cell_angle_alpha 90.00
_cell_angle_beta 90.00
_cell_angle_gamma 120.00
_space_group_name_H-M_alt 'P -6 m 2'
_space_group_IT_number 187
_space_group_name_Hall 'P -6 2'
loop_
_atom_site_label
_atom_site_fract_x
_atom_site_fract_y
_atom_site_fract_z
Mg1 0.0000 0.0000 0.0000
Rh1 0.6667 0.3333 0.5000
```

Computed properties:
- total magnetization (μB per formula unit) = 0.00
- ρ (g/cm3) = 6.779
- electronic total energy (eV per atom) = -4.8082
- E_form (meV/atom) = -335

---

electronic total energy of number 2 (BaSr7Ca3)?
-1.6281 eV per atom

---

What is the formula in the third record?
ZnSe2Br

---

Look up the total magnetization of the fourth one.
0.00 μB per formula unit

---

ρ of number 2 (BaSr7Ca3)?
2.354 g/cm3